Sc2MnBeV: relaxed, GGA-PBE.

Cell lengths 4.614, 4.614, 4.203 Å; angles 90.00, 90.00, 90.00 degrees
Sites, in units of the cell vectors:
Sc  0.000  0.500  0.000
Sc  0.500  0.000  0.000
Mn  0.000  0.000  0.000
Be  0.000  0.000  0.500
V  0.500  0.500  0.500

Calculated values
The space-group type is P4/mmm. The magnetic moment is 0.28 μB per formula unit. For the density of states at the Fermi level, the calculation gives 7.24 states/eV/cell. As for the formation energy from the elements: 0.81 eV per atom. The theoretical density is 3.8 Mg/m³. As for the crystal system: tetragonal.

=====

Tl2SnPbCl6: relaxed, GGA-PBE.

Cell lengths 7.491, 7.998, 13.233 Å; angles 90.00, 124.32, 90.00 degrees
Sites, in units of the cell vectors:
Tl  0.223  0.071  0.249
Tl  0.223  0.429  0.749
Tl  0.777  0.571  0.251
Tl  0.777  0.929  0.751
Sn  0.000  0.000  0.500
Sn  0.000  0.500  0.000
Pb  0.500  0.000  0.000
Pb  0.500  0.500  0.500
Cl  0.128  0.198  0.942
Cl  0.128  0.302  0.442
Cl  0.251  0.694  0.942
Cl  0.251  0.806  0.442
Cl  0.363  0.038  0.747
Cl  0.363  0.462  0.247
Cl  0.637  0.538  0.753
Cl  0.637  0.962  0.253
Cl  0.749  0.194  0.558
Cl  0.749  0.306  0.058
Cl  0.872  0.698  0.558
Cl  0.872  0.802  0.058

Calculated values
The space-group type is P2_1/c. The magnetic moment is 0.00 μB per formula unit. For the density of states at the Fermi level, the calculation gives 0.00 states/eV/cell. The calculation puts the uncorrected formation energy at -1.069 eV/atom. The theoretical density is 4.8 Mg/m³. As for the crystal system: monoclinic.

=====

Sm3AlCd2: relaxed, GGA-PBE.

Cell lengths 3.718, 3.718, 11.634 Å; angles 90.00, 90.00, 90.00 degrees
Sites, in units of the cell vectors:
Sm  0.000  0.000  0.000
Sm  0.000  0.000  0.344
Sm  0.000  0.000  0.656
Al  0.500  0.500  0.500
Cd  0.500  0.500  0.170
Cd  0.500  0.500  0.830

Calculated values
The space-group type is P4/mmm. The magnetic moment is 0.37 μB per formula unit. For the density of states at the Fermi level, the calculation gives 6.19 states/eV/cell. As for the formation energy from the elements: -0.34 eV per atom. The theoretical density is 7.3 Mg/m³. As for the crystal system: tetragonal.

=====

B2Pb2O5: relaxed, GGA-PBE.

Cell lengths 7.235, 7.235, 7.235 Å; angles 147.04, 133.86, 57.87 degrees
Sites, in units of the cell vectors:
B  0.109  0.109  0.000
B  0.891  0.891  0.000
Pb  0.334  0.334  0.000
Pb  0.666  0.666  0.000
O  0.000  0.000  0.000
O  0.042  0.834  0.208
O  0.374  0.166  0.208
O  0.626  0.834  0.792
O  0.958  0.166  0.792

Calculated values
The space-group type is Immm. The magnetic moment is 0.00 μB per formula unit. For the density of states at the Fermi level, the calculation gives 0.00 states/eV/cell. The calculation puts the uncorrected formation energy at -1.866 eV/atom. The theoretical density is 5.8 Mg/m³. As for the crystal system: orthorhombic.

=====

AgMoH3: relaxed, GGA-PBE.

Cell lengths 3.556, 3.556, 3.556 Å; angles 90.00, 90.00, 90.00 degrees
Sites, in units of the cell vectors:
Ag  0.000  0.000  0.000
Mo  0.500  0.500  0.500
H  0.000  0.000  0.500
H  0.000  0.500  0.000
H  0.500  0.000  0.000

Calculated values
The space-group type is Pm-3m. The magnetic moment is 1.58 μB per formula unit. For the density of states at the Fermi level, the calculation gives 1.94 states/eV/cell. The value obtained for the total energy is -3.88 eV/atom. The theoretical density is 7.6 Mg/m³. As for the crystal system: cubic.

=====

Li2OsBr: relaxed, GGA-PBE.

Cell lengths 4.928, 4.928, 4.928 Å; angles 134.31, 134.31, 66.60 degrees
Sites, in units of the cell vectors:
Li  0.250  0.750  0.500
Li  0.750  0.250  0.500
Os  0.000  0.000  0.000
Br  0.500  0.500  0.000

Calculated values
The space-group type is I4/mmm. The magnetic moment is 0.00 μB per formula unit. For the density of states at the Fermi level, the calculation gives 2.40 states/eV/cell. The calculation puts the uncorrected formation energy at 0.594 eV/atom. The theoretical density is 7.8 Mg/m³. As for the crystal system: tetragonal.

=====

Nd3Er13: relaxed, GGA-PBE.

Cell lengths 7.238, 8.408, 8.408 Å; angles 83.93, 90.00, 90.00 degrees
Sites, in units of the cell vectors:
Nd  0.000  0.000  0.000
Nd  0.252  0.746  0.746
Nd  0.748  0.746  0.746
Er  0.000  0.414  0.917
Er  0.000  0.496  0.496
Er  0.000  0.917  0.414
Er  0.250  0.250  0.250
Er  0.251  0.169  0.662
Er  0.251  0.662  0.169
Er  0.500  0.000  0.000
Er  0.500  0.412  0.919
Er  0.500  0.496  0.496
Er  0.500  0.919  0.412
Er  0.749  0.169  0.662
Er  0.749  0.662  0.169
Er  0.750  0.250  0.250

Calculated values
The space-group type is Amm2. The magnetic moment is 0.00 μB per formula unit. For the density of states at the Fermi level, the calculation gives 27.93 states/eV/cell. As for the formation energy from the elements: 0.01 eV per atom. The theoretical density is 8.5 Mg/m³. As for the crystal system: orthorhombic.

=====

Ho4Mg2O: relaxed, GGA-PBE.

Cell lengths 8.617, 8.617, 8.617 Å; angles 147.98, 147.98, 45.91 degrees
Sites, in units of the cell vectors:
Ho  0.000  0.500  0.500
Ho  0.156  0.156  0.000
Ho  0.500  0.000  0.500
Ho  0.844  0.844  0.000
Mg  0.362  0.362  0.000
Mg  0.638  0.638  0.000
O  0.000  0.000  0.000

Calculated values
The space-group type is I4/mmm. The magnetic moment is 0.00 μB per formula unit. For the density of states at the Fermi level, the calculation gives 5.81 states/eV/cell. The calculation puts the uncorrected formation energy at -0.680 eV/atom. The theoretical density is 6.7 Mg/m³. As for the crystal system: tetragonal.

=====

TlCd2Br: relaxed, GGA-PBE.

Cell lengths 4.759, 6.128, 9.188 Å; angles 108.59, 91.61, 92.09 degrees
Sites, in units of the cell vectors:
Tl  0.000  0.000  0.000
Tl  0.019  0.981  0.501
Cd  0.039  0.437  0.382
Cd  0.518  0.128  0.286
Cd  0.531  0.618  0.240
Cd  0.575  0.393  0.627
Br  0.468  0.870  0.742
Br  0.807  0.472  0.941

Calculated values
The space-group type is P1. The magnetic moment is 0.00 μB per formula unit. For the density of states at the Fermi level, the calculation gives 1.86 states/eV/cell. The calculation puts the uncorrected formation energy at -0.240 eV/atom. The theoretical density is 6.7 Mg/m³. As for the crystal system: triclinic.

=====

Sr2InF: relaxed, GGA-PBE.

Cell lengths 10.255, 10.255, 10.255 Å; angles 22.02, 22.02, 22.02 degrees
Sites, in units of the cell vectors:
Sr  0.112  0.112  0.112
Sr  0.888  0.888  0.888
In  0.000  0.000  0.000
F  0.500  0.500  0.500

Calculated values
The space-group type is R-3m. The magnetic moment is 0.92 μB per formula unit. For the density of states at the Fermi level, the calculation gives 3.55 states/eV/cell. The calculation puts the uncorrected formation energy at -1.073 eV/atom. The theoretical density is 3.9 Mg/m³. As for the crystal system: trigonal.

=====

Rb2Cd3SnPb4: relaxed, GGA-PBE.

Cell lengths 5.123, 5.123, 13.048 Å; angles 90.00, 90.00, 90.00 degrees
Sites, in units of the cell vectors:
Rb  0.000  0.500  0.247
Rb  0.500  0.000  0.753
Cd  0.000  0.000  0.000
Cd  0.000  0.500  0.635
Cd  0.500  0.000  0.365
Sn  0.500  0.500  0.000
Pb  0.000  0.000  0.500
Pb  0.000  0.500  0.865
Pb  0.500  0.000  0.135
Pb  0.500  0.500  0.500

Calculated values
The space-group type is P-4m2. The magnetic moment is 0.00 μB per formula unit. For the density of states at the Fermi level, the calculation gives 2.95 states/eV/cell. As for the formation energy from the elements: -0.10 eV per atom. The theoretical density is 7.1 Mg/m³. As for the crystal system: tetragonal.

=====

SmZrBr: relaxed, GGA-PBE.

Cell lengths 3.687, 3.687, 15.587 Å; angles 96.29, 96.29, 58.71 degrees
Sites, in units of the cell vectors:
Sm  0.245  0.245  0.243
Sm  0.755  0.755  0.757
Zr  0.114  0.114  0.927
Zr  0.886  0.886  0.073
Br  0.385  0.385  0.624
Br  0.615  0.615  0.376

Calculated values
The space-group type is C2/m. The magnetic moment is 0.23 μB per formula unit. For the density of states at the Fermi level, the calculation gives 5.54 states/eV/cell. The calculation puts the uncorrected formation energy at -0.640 eV/atom. The theoretical density is 5.9 Mg/m³. As for the crystal system: monoclinic.